No. 1
# Na3RhI6 (GGA-PBE, optimized geometry)
# Crystal system: orthorhombic
# Raw formation energy, eV per formula unit: -7.07
# Size of the total moment, Bohr magnetons per cell: 0.00
data_Na3RhI6
_chemical_formula_sum 'Na12 Rh4 I24'
_symmetry_space_group_name_H-M 'F m m m'
_symmetry_Int_Tables_number 69
_symmetry_space_group_name_Hall '-F 2 2'
_cell_length_a 9.4260
_cell_length_b 11.4276
_cell_length_c 14.4444
_cell_angle_alpha 90.00
_cell_angle_beta 90.00
_cell_angle_gamma 90.00
loop_
_atom_site_label
_atom_site_fract_x
_atom_site_fract_y
_atom_site_fract_z
Na1 0.0000 0.0000 0.0000
Na2 0.2500 0.2500 0.2500
Rh1 0.0000 0.0000 0.5000
I1 0.0000 0.2350 0.5000
I2 0.2039 0.0000 0.3685

---

No. 2
# NaSb2RhI (GGA-PBE, optimized geometry)
# Crystal system: tetragonal
# D(E_F), states/eV/atom: 0.59
# Raw formation energy, eV per formula unit: -0.21
# Size of the total moment, Bohr magnetons per cell: 0.00
# Energy above the most stable polymorph in this dataset, meV/atom: 0.0
data_NaSb2RhI
_chemical_formula_sum 'Na1 Sb2 Rh1 I1'
_symmetry_space_group_name_H-M 'P 4/m m m'
_symmetry_Int_Tables_number 123
_symmetry_space_group_name_Hall '-P 4 2'
_cell_length_a 5.0711
_cell_length_b 5.0711
_cell_length_c 6.3469
_cell_angle_alpha 90.00
_cell_angle_beta 90.00
_cell_angle_gamma 90.00
loop_
_atom_site_label
_atom_site_fract_x
_atom_site_fract_y
_atom_site_fract_z
Na1 0.0000 0.0000 0.0000
Sb1 0.0000 0.5000 0.5000
Rh1 0.5000 0.5000 0.5000
I1 0.5000 0.5000 0.0000

---

No. 3
# NaSbRhI2 (GGA-PBE, optimized geometry)
# Crystal system: tetragonal
# D(E_F), states/eV/atom: 0.35
# Raw formation energy, eV per formula unit: -0.96
# Size of the total moment, Bohr magnetons per cell: 0.00
# Energy above the most stable polymorph in this dataset, meV/atom: 0.0
data_NaSbRhI2
_chemical_formula_sum 'Na1 Sb1 Rh1 I2'
_symmetry_space_group_name_H-M 'P 4/m m m'
_symmetry_Int_Tables_number 123
_symmetry_space_group_name_Hall '-P 4 2'
_cell_length_a 5.7882
_cell_length_b 5.7882
_cell_length_c 4.9679
_cell_angle_alpha 90.00
_cell_angle_beta 90.00
_cell_angle_gamma 90.00
loop_
_atom_site_label
_atom_site_fract_x
_atom_site_fract_y
_atom_site_fract_z
Na1 0.0000 0.0000 0.0000
Sb1 0.5000 0.5000 0.0000
Rh1 0.5000 0.5000 0.5000
I1 0.0000 0.5000 0.5000